Version one
Entry from the Alexandria database: BeIr2Br at its PBEsol-relaxed geometry (SCAN).

```
BeIr2Br
1.0
0.000 3.021 3.021
3.021 0.000 3.021
3.021 3.021 0.000
Be Ir Br
1 2 1
direct
0.000 0.000 0.000 Be
0.250 0.250 0.250 Ir
0.750 0.750 0.750 Ir
0.500 0.500 0.500 Br
```

Computed properties:
**ρ**: 14.26 g/cm3
**SG**: Fm-3m (225)
**DOS(E_F)**: 0.8737 states/eV per atom


Version two
Entry from the Alexandria database: BeIr2Br at its PBEsol-relaxed geometry (SCAN).

```
BeIr2Br
1.0
2.721 0.000 0.000
0.000 3.547 0.000
-1.216 0.000 6.975
Be Ir Br
1 2 1
direct
0.000 0.000 0.000 Be
0.447 0.500 0.880 Ir
0.852 0.000 0.667 Ir
0.740 0.500 0.417 Br
```

Computed properties:
**ρ**: 11.68 g/cm3
**SG**: Pm (6)
**DOS(E_F)**: 0.5366 states/eV per atom


Q: What are the energies relative to the best structure? A: version one 0.755; version two 0.000, in eV/atom.


Version one
Entry from the Alexandria database: KBeBr2 at its PBEsol-relaxed geometry (SCAN).

```
KBeBr2
1.0
-3.233 3.233 6.468
3.233 -3.233 6.468
3.233 3.233 -6.468
K Be Br
2 2 4
direct
0.000 0.000 0.000 K
0.750 0.250 0.500 K
0.250 0.750 0.500 Be
0.500 0.500 0.000 Be
0.241 0.625 0.116 Br
0.375 0.491 0.616 Br
0.509 0.125 0.884 Br
0.875 0.759 0.384 Br
```

Computed properties:
**ρ**: 2.55 g/cm3
**SG**: I-42d (122)
**DOS(E_F)**: 0.1434 states/eV per atom


Version two
Entry from the Alexandria database: KBeBr2 at its PBEsol-relaxed geometry (SCAN).

```
KBeBr2
1.0
6.136 -2.286 0.000
6.136 2.286 0.000
-1.268 0.000 4.473
K Be Br
1 1 2
direct
0.000 0.000 0.000 K
0.714 0.714 0.729 Be
0.268 0.268 0.816 Br
0.535 0.535 0.522 Br
```

Computed properties:
**ρ**: 2.75 g/cm3
**SG**: Cm (8)
**DOS(E_F)**: 0.2199 states/eV per atom


Q: What are the energies relative to the best structure? A: version one 0.139; version two 0.000, in eV/atom.